Entry 1:
The following is a PBE calculation of a geometry-optimized FeIr3W structure, from the Alexandria database.

Results
The spin magnetization is 2.2 μB per formula unit. Its energy of formation is 1.623 eV per atom. The energy above the most stable polymorph in this dataset is 1307.4 meV per atom. The calculated total energy is -7.977 eV per atom. Its space group is Pm-3m, No. 221.

Cell lengths 4.4011, 4.4011, 4.4011 Å; angles 90.00, 90.00, 90.00 degrees
Last column: nearest neighbours and their distance in Å.
Positions (direct):
Ir (0.0000, 0.5000, 0.0000)  2 Fe 2.20
Ir (0.0000, 0.0000, 0.5000)  2 Fe 2.20
Ir (0.5000, 0.0000, 0.0000)  2 Fe 2.20
Fe (0.0000, 0.0000, 0.0000)  6 Ir 2.20
W (0.5000, 0.5000, 0.5000)  12 Ir 3.11

=====

Entry 2:
The following is a PBE calculation of a geometry-optimized K2YSe structure, from the Alexandria database.

Results
The spin magnetization is 0.9 μB per formula unit. The calculated total energy is -3.040 eV per atom. The raw formation energy comes out at -0.004 eV/atom. Its space group is I-4m2, No. 119.

Cell lengths 6.5887, 6.5887, 6.5887 Å; angles 135.63, 135.63, 64.55 degrees
Last column: nearest neighbours and their distance in Å.
Positions (direct):
K (0.0000, 0.0000, 0.0000)  4 Se 3.52, 4 K 3.73, 4 Y 3.73
K (0.2500, 0.7500, 0.5000)  4 Y 3.52, 4 Se 3.73, 4 K 3.73
Se (0.5000, 0.5000, 0.0000)  8 K 3.52-3.73, 4 Y 3.73
Y (0.7500, 0.2500, 0.5000)  8 K 3.52-3.73, 4 Se 3.73

=====

Entry 3:
The following is a PBE calculation of a geometry-optimized CuIr2Os structure, from the Alexandria database.

Results
The spin magnetization is 0.0 μB per formula unit. Its energy of formation is 0.202 eV per atom. The energy above the most stable polymorph in this dataset is 159.6 meV per atom. The calculated total energy is -8.060 eV per atom. Its space group is Cmmm, No. 65.

Cell lengths 4.6865, 4.6865, 2.7117 Å; angles 90.00, 90.00, 109.18 degrees
Last column: nearest neighbours and their distance in Å.
Positions (direct):
Cu (0.0000, 0.5000, 0.5000)  8 Ir 2.71, 2 Cu 2.71, 2 Os 2.72
Ir (0.0000, 0.0000, 0.0000)  4 Os 2.71, 4 Cu 2.71, 4 Ir 2.71-2.72
Ir (0.5000, 0.5000, 0.0000)  4 Cu 2.71, 4 Os 2.71, 4 Ir 2.71-2.72
Os (0.5000, 0.0000, 0.5000)  8 Ir 2.71, 2 Os 2.71, 2 Cu 2.72

=====

Entry 4:
The following is a PBE calculation of a geometry-optimized PaGe2Pd structure, from the Alexandria database.

Results
The spin magnetization is 0.0 μB per formula unit. Its energy of formation is -0.281 eV per atom. The calculated total energy is -6.262 eV per atom. Its space group is P4/mmm, No. 123.

Cell lengths 3.1836, 3.1836, 7.3364 Å; angles 90.00, 90.00, 90.00 degrees
Last column: nearest neighbours and their distance in Å.
Positions (direct):
Ge (0.0000, 0.0000, 0.7148)  4 Pd 2.75, 4 Pa 3.07
Ge (0.0000, 0.0000, 0.2852)  4 Pd 2.75, 4 Pa 3.07
Pa (0.5000, 0.5000, 0.0000)  8 Ge 3.07, 4 Pa 3.18
Pd (0.5000, 0.5000, 0.5000)  8 Ge 2.75

=====

Entry 5:
The following is a PBE calculation of a geometry-optimized CsCu3Ir structure, from the Alexandria database.

Results
The spin magnetization is 0.0 μB per formula unit. Its energy of formation is 2.509 eV per atom. The energy above the most stable polymorph in this dataset is 1766.8 meV per atom. The calculated total energy is -1.892 eV per atom. Its space group is Pm-3m, No. 221.

Cell lengths 4.9414, 4.9414, 4.9414 Å; angles 90.00, 90.00, 90.00 degrees
Last column: nearest neighbours and their distance in Å.
Positions (direct):
Cs (0.0000, 0.0000, 0.0000)  6 Cu 2.47
Ir (0.5000, 0.5000, 0.5000)  12 Cu 3.49
Cu (0.0000, 0.5000, 0.0000)  2 Cs 2.47
Cu (0.0000, 0.0000, 0.5000)  2 Cs 2.47
Cu (0.5000, 0.0000, 0.0000)  2 Cs 2.47

=====

Entry 6:
The following is a PBE calculation of a geometry-optimized Ba4RhICl2 structure, from the Alexandria database.

Results
The spin magnetization is 0.0 μB per formula unit. The calculated total energy is -3.836 eV per atom. The raw formation energy comes out at -1.300 eV/atom. Its space group is P2/m, No. 10.

Cell lengths 4.5458, 8.1542, 8.7179 Å; angles 72.94, 90.00, 90.00 degrees
Last column: nearest neighbours and their distance in Å.
Positions (direct):
Ba (0.0000, 0.7314, 0.7058)  1 Rh 2.96, 2 Cl 3.30
Ba (0.0000, 0.2686, 0.2942)  1 Rh 2.96, 2 Cl 3.30
Ba (0.5000, 0.7352, 0.2842)  2 Rh 3.20, 3 Cl 3.25-3.58, 1 I 3.55
Ba (0.5000, 0.2648, 0.7158)  2 Rh 3.20, 3 Cl 3.25-3.58, 1 I 3.55
Rh (0.0000, 0.5000, 0.5000)  6 Ba 2.96-3.20
I (0.5000, 0.5000, 0.0000)  6 Ba 3.53-3.55
Cl (0.0000, 0.0000, 0.0000)  6 Ba 3.58-3.83
Cl (0.5000, 0.0000, 0.5000)  6 Ba 3.25-3.30